Entry 1:
# PrTm2Au, optimized geometry, DFT PBE
data_PrTm2Au
_chemical_formula_sum 'Pr1 Tm2 Au1'
_cell_length_a 3.6058
_cell_length_b 3.6058
_cell_length_c 8.5522
_cell_angle_alpha 90.00
_cell_angle_beta 90.00
_cell_angle_gamma 90.00
_space_group_name_H-M_alt 'P 4/m m m'
_space_group_IT_number 123
_space_group_name_Hall '-P 4 2'
loop_
_atom_site_label
_atom_site_type_symbol
_atom_site_fract_x
_atom_site_fract_y
_atom_site_fract_z
_atom_site_occupancy
Pr1 Pr 0.0000 0.0000 0.0000 1
Tm1 Tm 0.5000 0.5000 0.3013 1
Au1 Au 0.0000 0.0000 0.5000 1
# energy: -4.670 eV per atom
# E above lowest polymorph: 5 meV/atom
# size of the total moment: 0.00 μB per cell
# formation energy: -0.420 eV per atom



Entry 2:
# Pm2Pr2Ho3, optimized geometry, DFT PBE
data_Pm2Pr2Ho3
_chemical_formula_sum 'Pm4 Pr4 Ho6'
_cell_length_a 6.4377
_cell_length_b 12.6643
_cell_length_c 6.9752
_cell_angle_alpha 90.00
_cell_angle_beta 122.53
_cell_angle_gamma 90.00
_space_group_name_H-M_alt 'P 1 21/c 1'
_space_group_IT_number 14
loop_
_space_group_symop_operation_xyz
'x,y,z'
'-x,-y,-z'
'-x,y+1/2,-z+1/2'
'x,-y+1/2,z+1/2'
loop_
_atom_site_label
_atom_site_type_symbol
_atom_site_fract_x
_atom_site_fract_y
_atom_site_fract_z
_atom_site_occupancy
Pm1 Pm 0.0856 0.1130 0.4362 1
Pr1 Pr 0.4975 0.2080 0.3360 1
Ho1 Ho 0.0807 0.6128 0.6476 1
Ho2 Ho 0.5000 0.0000 0.0000 1
# energy: -4.528 eV per atom
# E above lowest polymorph: 26 meV/atom
# size of the total moment: 0.00 μB per cell
# formation energy: 0.157 eV per atom



Entry 3:
# CoCuNi4, optimized geometry, DFT PBE
data_CoCuNi4
_chemical_formula_sum 'Co4 Cu4 Ni16'
_cell_length_a 6.5345
_cell_length_b 6.5345
_cell_length_c 6.5345
_cell_angle_alpha 90.00
_cell_angle_beta 90.00
_cell_angle_gamma 90.00
_space_group_name_H-M_alt 'F -4 3 m'
_space_group_IT_number 216
_space_group_name_Hall 'F -4 2 3'
loop_
_atom_site_label
_atom_site_type_symbol
_atom_site_fract_x
_atom_site_fract_y
_atom_site_fract_z
_atom_site_occupancy
Co1 Co 0.0000 0.0000 0.0000 1
Cu1 Cu 0.2500 0.2500 0.7500 1
Ni1 Ni 0.1250 0.1250 0.3750 1
# energy: -5.494 eV per atom
# E above lowest polymorph: 216 meV/atom
# size of the total moment: 13.37 μB per cell
# formation energy: 0.227 eV per atom